[1]
# VCr4In PBE relaxed
# D(E_F)	14.3	states/eV per cell
# E_form	3.5	kcal/mol of atoms
# spin magnetization	0.0	μB per formula unit
data_VCr4In
_cell_length_a 6.862
_cell_length_b 6.862
_cell_length_c 6.862
_cell_angle_alpha 90.00
_cell_angle_beta 90.00
_cell_angle_gamma 90.00
_symmetry_space_group_name_H-M 'F -4 3 m'
_symmetry_Int_Tables_number 216
_symmetry_space_group_name_Hall 'F -4 2 3'
loop_
_atom_site_label
_atom_site_type_symbol
_atom_site_fract_x
_atom_site_fract_y
_atom_site_fract_z
V1 V 0.000 0.000 0.000
Cr1 Cr 0.124 0.124 0.376
In1 In 0.250 0.250 0.750

=====

[2]
# LiCaTl5 PBE relaxed
# E above lowest polymorph	0.000	eV per atom
# D(E_F)	5.0	states/eV per cell
# E_form	-3.7	kcal/mol of atoms
# spin magnetization	0.0	μB per formula unit
data_LiCaTl5
_cell_length_a 4.949
_cell_length_b 4.949
_cell_length_c 7.929
_cell_angle_alpha 90.00
_cell_angle_beta 90.00
_cell_angle_gamma 90.00
_symmetry_space_group_name_H-M 'P 4/m m m'
_symmetry_Int_Tables_number 123
_symmetry_space_group_name_Hall '-P 4 2'
loop_
_atom_site_label
_atom_site_type_symbol
_atom_site_fract_x
_atom_site_fract_y
_atom_site_fract_z
Li1 Li 0.000 0.000 0.000
Ca1 Ca 0.000 0.000 0.500
Tl1 Tl 0.000 0.500 0.207
Tl2 Tl 0.500 0.500 0.500

=====

[3]
# Cs3Np3TcSe8 PBE relaxed
# D(E_F)	98.2	states/eV per cell
# formation energy from raw total energies	-98.0	kJ per mole of atoms
# spin magnetization	9.0	μB per formula unit
data_Cs3Np3TcSe8
_cell_length_a 8.1357
_cell_length_b 8.1357
_cell_length_c 25.9733
_cell_angle_alpha 90.00
_cell_angle_beta 90.00
_cell_angle_gamma 120.00
_symmetry_space_group_name_H-M 'R -3 m'
_symmetry_Int_Tables_number 166
_symmetry_space_group_name_Hall '-R 3 2"'
loop_
_atom_site_label
_atom_site_type_symbol
_atom_site_fract_x
_atom_site_fract_y
_atom_site_fract_z
Cs1 Cs 0.0000 0.5000 0.0000
Np1 Np 0.0000 0.5000 0.5000
Tc1 Tc 0.0000 0.0000 0.5000
Se1 Se 0.0000 0.0000 0.2301
Se2 Se 0.0229 0.5115 0.2253

=====

[4]
# Cr2SbAs PBE relaxed
# D(E_F)	6.5	states/eV per cell
# formation energy from raw total energies	33.2	kJ per mole of atoms
# spin magnetization	7.0	μB per formula unit
data_Cr2SbAs
_cell_length_a 6.119
_cell_length_b 6.904
_cell_length_c 3.488
_cell_angle_alpha 90.00
_cell_angle_beta 90.00
_cell_angle_gamma 90.00
_symmetry_space_group_name_H-M 'C m m m'
_symmetry_Int_Tables_number 65
_symmetry_space_group_name_Hall '-C 2 2'
loop_
_atom_site_label
_atom_site_type_symbol
_atom_site_fract_x
_atom_site_fract_y
_atom_site_fract_z
Cr1 Cr 0.250 0.250 0.000
Sb1 Sb 0.000 0.000 0.500
As1 As 0.000 0.500 0.500

=====

- Which formula does entry 1 have?
  VCr4In